No. 1
4
Lattice="5.626 0.049 0.023 1.733 5.353 -0.023 -2.902 -3.760 3.016" Properties=species:S:1:pos:R:3 comment="PBE-GGA BaTaCu2, relaxed" relative_energy_ev_per_atom=0.553 formation_enthalpy_0k_ev_per_atom=0.89 crystal_system=orthorhombic pbc="T T T"
Ta 3.202 -0.505 1.520
Cu 7.039 5.168 0.000
Cu 3.999 2.936 0.000
Ba 1.255 2.147 1.497

No. 2
4
Lattice="5.345 0.000 0.000 2.672 4.629 0.000 2.672 1.543 4.364" Properties=species:S:1:pos:R:3 comment="PBE-GGA SmHoCdIn, relaxed" relative_energy_ev_per_atom=0.000 formation_enthalpy_0k_ev_per_atom=-0.41 crystal_system=cubic pbc="T T T"
Sm 5.345 3.086 2.182
Cd 8.017 4.629 3.273
In 2.672 1.543 1.091
Ho 0.000 0.000 0.000

No. 3
6
Lattice="2.471 1.349 -0.362 1.758 4.062 -0.887 0.194 -2.742 10.894" Properties=species:S:1:pos:R:3 comment="PBE-GGA TaZnH, relaxed" relative_energy_ev_per_atom=0.102 crystal_system=triclinic pbc="T T T"
H 2.971 0.799 9.731
H 3.320 3.170 4.067
Zn 2.919 0.456 8.102
Zn 2.841 3.854 0.469
Ta 1.253 0.721 5.957
Ta 2.036 2.241 2.979

No. 4
22
Lattice="-2.290 6.813 2.592 1.783 2.124 7.254 10.313 8.470 -1.892" Properties=species:S:1:pos:R:3 comment="PBE-GGA Li6I4O, relaxed" crystal_system=monoclinic e_form_raw_ev_per_atom=-1.304 pbc="T T T"
Li 1.457 5.094 4.597
Li 9.179 10.568 0.233
Li 7.739 14.564 1.913
Li 7.948 8.258 1.217
Li 7.653 11.965 4.808
Li 0.734 9.260 3.113
Li 2.337 9.090 7.313
Li 5.265 10.095 7.857
Li 4.382 8.979 5.408
Li 4.538 11.789 1.364
Li 8.708 15.713 4.214
Li 3.388 11.648 6.583
I 3.507 9.642 2.842
I 5.526 13.387 5.992
I 10.077 13.387 4.932
I 2.217 2.772 3.245
I 3.803 6.169 5.654
I 7.252 11.769 2.005
I -0.010 6.567 2.732
I 7.719 9.695 6.545
O 3.828 9.932 6.814
O 9.520 8.860 0.626

No. 5
3
Lattice="-2.584 -0.517 4.059 -4.408 -1.994 -0.127 4.717 -0.536 -0.938" Properties=species:S:1:pos:R:3 comment="PBE-GGA MoIrPt, relaxed" relative_energy_ev_per_atom=0.000 formation_enthalpy_0k_ev_per_atom=-0.30 crystal_system=orthorhombic pbc="T T T"
Pt -4.665 -1.676 2.624
Mo -2.369 -0.851 1.332
Ir -6.949 -2.495 3.908

No. 6
16
Lattice="8.231 0.084 -0.088 -2.322 7.897 -0.088 -2.557 -3.454 10.353" Properties=species:S:1:pos:R:3 comment="PBE-GGA KErCuI5, relaxed" crystal_system=monoclinic e_form_raw_ev_per_atom=-1.066 pbc="T T T"
I 6.494 2.214 1.152
I -1.057 5.130 6.328
I 0.900 2.861 9.572
I -2.036 6.348 2.500
I -3.142 2.313 9.025
I -0.401 1.104 5.781
I 4.408 -0.603 3.848
I 3.753 3.423 4.395
I 5.387 -1.821 7.677
I 2.451 1.666 0.605
K 0.860 4.204 2.500
K 2.491 0.323 7.677
Cu -0.968 2.884 7.677
Cu 4.319 1.643 2.500
Er 0.000 0.000 0.000
Er -1.279 -1.727 5.177